P) DFT (PBE-GGA) results for a relaxed structure of Tm2TlGa.

```
4
Lattice="3.5186 0.0000 0.0000 0.0000 3.5186 0.0000 0.0000 0.0000 7.8349" Properties=species:S:1:pos:R:3 pbc="T T T"
Tm 0.0000 0.0000 1.7996
Tm 0.0000 0.0000 6.0353
Tl 1.7593 1.7593 3.9175
Ga 1.7593 1.7593 0.0000
```


Q) DFT (PBE-GGA) results for a relaxed structure of Tm2TlGa.

```
12
Lattice="3.6348 0.0000 0.0000 -1.8174 3.1478 0.0000 0.0000 0.0000 27.3011" Properties=species:S:1:pos:R:3 pbc="T T T"
Tm 0.0000 0.0000 6.6436
Tm 0.0000 0.0000 20.6575
Tm 0.0000 2.0985 11.5571
Tm 0.0000 2.0985 24.8444
Tm 1.8174 1.0493 2.4567
Tm 1.8174 1.0493 15.7440
Tl 0.0000 0.0000 0.0000
Tl 0.0000 2.0985 18.2008
Tl 1.8174 1.0493 9.1004
Ga 0.0000 0.0000 13.6506
Ga 0.0000 2.0985 4.5502
Ga 1.8174 1.0493 22.7509
```


R) DFT (PBE-GGA) results for a relaxed structure of Tm2TlGa.

```
16
Lattice="7.3022 0.0000 0.0000 0.0000 7.3022 0.0000 0.0000 0.0000 7.3022" Properties=species:S:1:pos:R:3 pbc="T T T"
Tm 1.8255 1.8255 1.8255
Tm 1.8255 1.8255 5.4766
Tm 1.8255 5.4766 1.8255
Tm 1.8255 5.4766 5.4766
Tm 5.4766 1.8255 1.8255
Tm 5.4766 1.8255 5.4766
Tm 5.4766 5.4766 1.8255
Tm 5.4766 5.4766 5.4766
Tl 0.0000 0.0000 0.0000
Tl 0.0000 3.6511 3.6511
Tl 3.6511 0.0000 3.6511
Tl 3.6511 3.6511 0.0000
Ga 0.0000 0.0000 3.6511
Ga 0.0000 3.6511 0.0000
Ga 3.6511 0.0000 0.0000
Ga 3.6511 3.6511 3.6511
```


Of them, the most stable is P) and the least stable is Q).